Tc2NiSb8: optimized geometry, PBE.

Values from the calculation:
Spin magnetization = 0.00 μB/f.u.
SG = P-3m1, No. 164
Raw total energy = -0.1921 Ha/atom
Uncorrected formation energy = 0.18 eV/atom

Lattice parameters (Å, degrees): 5.0937 8.1868 8.1825 120.02 90.00 90.00
With the nearest neighbours (Å) after each atom.
Fractional coordinates of all 11 atoms:
Sb: 0.7091 0.3028 0.1514  1 Tc 2.61, 1 Ni 2.61
Sb: 0.7091 0.8485 0.1513  1 Tc 2.61, 1 Ni 2.61
Sb: 0.7278 0.3337 0.6674  2 Tc 2.49-2.60
Sb: 0.2909 0.6972 0.8485  1 Tc 2.61, 1 Ni 2.61
Tc: 0.2167 0.3335 0.6669  5 Sb 2.49-2.61
Ni: 0.0000 0.0000 0.0000  6 Sb 2.61
Sb: 0.2908 0.1515 0.3030  1 Tc 2.61, 1 Ni 2.61
Sb: 0.2722 0.6663 0.3326  2 Tc 2.49-2.60
Sb: 0.2909 0.1515 0.8487  1 Tc 2.61, 1 Ni 2.61
Sb: 0.7092 0.8485 0.6970  1 Tc 2.61, 1 Ni 2.61
Tc: 0.7833 0.6665 0.3331  5 Sb 2.49-2.61